# Pa6SeS8

A relaxed Pa6SeS8 crystal (PBE-GGA, Alexandria via LeMat-Bulk).

Results
Its space-group type is No. 148. The total energy is -7.81 eV/atom. For the total moment, the calculation gives 0.00 μB/f.u.

a = 10.519 Å, b = 10.519 Å, c = 10.519 Å
α = 38.10°, β = 38.10°, γ = 38.10°
Fractional coordinates of all 15 atoms:
1 Pa 0.102 0.446 0.791
2 Pa 0.209 0.898 0.554
3 Pa 0.446 0.791 0.102
4 Pa 0.554 0.209 0.898
5 Pa 0.791 0.102 0.446
6 Pa 0.898 0.554 0.209
7 Se 0.500 0.500 0.500
8 S 0.070 0.722 0.396
9 S 0.167 0.167 0.167
10 S 0.278 0.604 0.930
11 S 0.396 0.070 0.722
12 S 0.604 0.930 0.278
13 S 0.722 0.396 0.070
14 S 0.833 0.833 0.833
15 S 0.930 0.278 0.604



# Pa2Se2S

A relaxed Pa2Se2S crystal (PBE-GGA, Alexandria via LeMat-Bulk).

Results
Its space-group type is No. 71. The total energy is -7.42 eV/atom. For the total moment, the calculation gives 0.95 μB/f.u.

a = 6.872 Å, b = 6.872 Å, c = 6.872 Å
α = 147.24°, β = 131.31°, γ = 59.93°
Fractional coordinates of all 5 atoms:
1 Pa 0.161 0.161 0.000
2 Pa 0.839 0.839 0.000
3 Se 0.343 0.843 0.500
4 Se 0.657 0.157 0.500
5 S 0.000 0.500 0.500



# Pa5Se5S2

A relaxed Pa5Se5S2 crystal (PBE-GGA, Alexandria via LeMat-Bulk).

Results
Its space-group type is No. 12. The total energy is -7.41 eV/atom. For the total moment, the calculation gives 3.12 μB/f.u.

a = 6.934 Å, b = 6.934 Å, c = 11.838 Å
α = 109.50°, β = 109.50°, γ = 32.98°
Fractional coordinates of all 12 atoms:
1 Pa 0.000 0.000 0.000
2 Pa 0.121 0.121 0.428
3 Pa 0.321 0.321 0.222
4 Pa 0.679 0.679 0.778
5 Pa 0.879 0.879 0.572
6 Se 0.278 0.278 0.670
7 Se 0.332 0.332 0.953
8 Se 0.500 0.500 0.500
9 Se 0.668 0.668 0.047
10 Se 0.722 0.722 0.330
11 S 0.037 0.037 0.789
12 S 0.963 0.963 0.211



# Pa3Se3S2

A relaxed Pa3Se3S2 crystal (PBE-GGA, Alexandria via LeMat-Bulk).

Results
Its space-group type is No. 63. The total energy is -7.30 eV/atom. For the total moment, the calculation gives 3.84 μB/f.u.

a = 7.192 Å, b = 7.192 Å, c = 13.927 Å
α = 90.00°, β = 90.00°, γ = 148.32°
Fractional coordinates of all 16 atoms:
1 Pa 0.107 0.893 0.750
2 Pa 0.120 0.880 0.049
3 Pa 0.120 0.880 0.451
4 Pa 0.880 0.120 0.549
5 Pa 0.880 0.120 0.951
6 Pa 0.893 0.107 0.250
7 Se 0.099 0.901 0.250
8 Se 0.455 0.545 0.101
9 Se 0.455 0.545 0.399
10 Se 0.545 0.455 0.601
11 Se 0.545 0.455 0.899
12 Se 0.901 0.099 0.750
13 S 0.250 0.750 0.606
14 S 0.250 0.750 0.894
15 S 0.750 0.250 0.106
16 S 0.750 0.250 0.394



# Pa6Se12S

A relaxed Pa6Se12S crystal (PBE-GGA, Alexandria via LeMat-Bulk).

Results
Its space-group type is No. 166. The total energy is -6.59 eV/atom. For the total moment, the calculation gives 3.18 μB/f.u.

a = 8.134 Å, b = 8.134 Å, c = 8.134 Å
α = 76.52°, β = 76.52°, γ = 76.52°
Fractional coordinates of all 19 atoms:
1 Pa 0.257 0.257 0.707
2 Pa 0.257 0.707 0.257
3 Pa 0.293 0.743 0.743
4 Pa 0.707 0.257 0.257
5 Pa 0.743 0.293 0.743
6 Pa 0.743 0.743 0.293
7 Se 0.035 0.035 0.685
8 Se 0.035 0.685 0.035
9 Se 0.071 0.608 0.608
10 Se 0.315 0.965 0.965
11 Se 0.392 0.392 0.929
12 Se 0.392 0.929 0.392
13 Se 0.608 0.071 0.608
14 Se 0.608 0.608 0.071
15 Se 0.685 0.035 0.035
16 Se 0.929 0.392 0.392
17 Se 0.965 0.315 0.965
18 Se 0.965 0.965 0.315
19 S 0.500 0.500 0.500



# Pa4Se4S

A relaxed Pa4Se4S crystal (PBE-GGA, Alexandria via LeMat-Bulk).

Results
Its space-group type is No. 12. The total energy is -7.62 eV/atom. For the total moment, the calculation gives 0.38 μB/f.u.

a = 6.989 Å, b = 6.989 Å, c = 9.759 Å
α = 118.93°, β = 118.93°, γ = 32.96°
Fractional coordinates of all 9 atoms:
1 Pa 0.095 0.095 0.409
2 Pa 0.304 0.304 0.211
3 Pa 0.696 0.696 0.789
4 Pa 0.905 0.905 0.591
5 Se 0.098 0.098 0.905
6 Se 0.317 0.317 0.716
7 Se 0.683 0.683 0.284
8 Se 0.902 0.902 0.095
9 S 0.500 0.500 0.500



# Pa2SeS

A relaxed Pa2SeS crystal (PBE-GGA, Alexandria via LeMat-Bulk).

Results
Its space-group type is No. 160. The total energy is -7.90 eV/atom. For the total moment, the calculation gives 0.00 μB/f.u.

a = 7.977 Å, b = 7.977 Å, c = 7.977 Å
α = 26.64°, β = 26.64°, γ = 26.64°
Fractional coordinates of all 4 atoms:
1 Pa 0.000 0.000 0.000
2 Pa 0.161 0.161 0.161
3 Se 0.580 0.580 0.580
4 S 0.748 0.748 0.748



# Pa2Se3S

A relaxed Pa2Se3S crystal (PBE-GGA, Alexandria via LeMat-Bulk).

Results
Its space-group type is No. 72. The total energy is -6.91 eV/atom. For the total moment, the calculation gives 2.02 μB/f.u.

a = 8.357 Å, b = 8.357 Å, c = 8.357 Å
α = 131.92°, β = 72.84°, γ = 128.83°
Fractional coordinates of all 12 atoms:
1 Pa 0.133 0.223 0.357
2 Pa 0.367 0.723 0.090
3 Pa 0.633 0.277 0.910
4 Pa 0.867 0.777 0.643
5 Se 0.016 0.750 0.266
6 Se 0.250 0.250 0.000
7 Se 0.484 0.750 0.734
8 Se 0.516 0.250 0.266
9 Se 0.750 0.750 0.000
10 Se 0.984 0.250 0.734
11 S 0.000 0.500 0.500
12 S 0.500 0.000 0.500



One value per record, in order, for D(E_F): 13.38; 7.15; 19.64; 23.08; 18.22; 14.63; 6.36; 22.60 states/eV/cell.